Material: SrAcSnSb
Method: DFT, PBE-GGA
State: relaxed

Unit cell a=5.7790 b=5.7790 c=5.7790 alpha=60.00 beta=60.00 gamma=60.00
With the nearest neighbours (Å) after each atom.
Fractional coordinates of all 4 atoms:
Sr (0.0000, 0.0000, 0.0000)  4 Sn 3.54, 4 Sb 3.54
Ac (0.5000, 0.5000, 0.5000)  4 Sn 3.54, 4 Sb 3.54
Sn (0.7500, 0.7500, 0.7500)  4 Ac 3.54, 4 Sr 3.54
Sb (0.2500, 0.2500, 0.2500)  4 Ac 3.54, 4 Sr 3.54

Computed properties:
* formation energy from raw total energies: -0.68 eV per atom
* magnetization: 0.00 μB per formula unit



Material: Ac6SnSb2Te3
Method: DFT, PBE-GGA
State: relaxed

Unit cell a=10.6999 b=10.6999 c=9.5527 alpha=102.73 beta=102.73 gamma=25.90
With the nearest neighbours (Å) after each atom.
Fractional coordinates of all 12 atoms:
Ac (0.0017, 0.0017, 0.2413)  2 Sn 3.32, 1 Sb 3.37, 3 Te 3.44-3.45
Ac (0.3315, 0.3315, 0.4223)  3 Sb 3.34, 3 Te 3.42
Ac (0.3372, 0.3372, 0.9131)  1 Sn 3.31, 2 Sb 3.35, 3 Te 3.43-3.44
Ac (0.6628, 0.6628, 0.0869)  1 Sn 3.31, 2 Sb 3.35, 3 Te 3.43-3.44
Ac (0.6685, 0.6685, 0.5777)  3 Sb 3.34, 3 Te 3.42
Ac (0.9983, 0.9983, 0.7587)  2 Sn 3.32, 1 Sb 3.37, 3 Te 3.44-3.45
Sn (0.5000, 0.5000, 0.0000)  6 Ac 3.31-3.32
Sb (0.1673, 0.1673, 0.3343)  6 Ac 3.34-3.37
Sb (0.8327, 0.8327, 0.6657)  6 Ac 3.34-3.37
Te (0.1678, 0.1678, 0.8325)  6 Ac 3.42-3.44
Te (0.5000, 0.5000, 0.5000)  6 Ac 3.42-3.45
Te (0.8322, 0.8322, 0.1675)  6 Ac 3.42-3.44

Computed properties:
* formation energy from raw total energies: -1.33 eV per atom
* magnetization: 0.00 μB per formula unit



Material: Ac8SnSb3Te4
Method: DFT, PBE-GGA
State: relaxed

Unit cell a=9.5573 b=9.5573 c=9.5573 alpha=60.13 beta=60.13 gamma=60.13
With the nearest neighbours (Å) after each atom.
Fractional coordinates of all 16 atoms:
Ac (0.2467, 0.2467, 0.2467)  3 Sb 3.34, 3 Te 3.43
Ac (0.2490, 0.7450, 0.7450)  1 Sn 3.32, 2 Sb 3.34, 3 Te 3.42-3.45
Ac (0.2550, 0.2550, 0.7510)  1 Sn 3.32, 2 Sb 3.34, 3 Te 3.42-3.45
Ac (0.2550, 0.7510, 0.2550)  1 Sn 3.32, 2 Sb 3.34, 3 Te 3.42-3.45
Ac (0.7450, 0.2490, 0.7450)  1 Sn 3.32, 2 Sb 3.34, 3 Te 3.42-3.45
Ac (0.7450, 0.7450, 0.2490)  1 Sn 3.32, 2 Sb 3.34, 3 Te 3.42-3.45
Ac (0.7510, 0.2550, 0.2550)  1 Sn 3.32, 2 Sb 3.34, 3 Te 3.42-3.45
Ac (0.7533, 0.7533, 0.7533)  3 Sb 3.34, 3 Te 3.43
Sn (0.5000, 0.5000, 0.5000)  6 Ac 3.32
Sb (0.0000, 0.0000, 0.5000)  6 Ac 3.34
Sb (0.0000, 0.5000, 0.0000)  6 Ac 3.34
Sb (0.5000, 0.0000, 0.0000)  6 Ac 3.34
Te (0.0000, 0.0000, 0.0000)  6 Ac 3.45
Te (0.0000, 0.5000, 0.5000)  6 Ac 3.42-3.43
Te (0.5000, 0.0000, 0.5000)  6 Ac 3.42-3.43
Te (0.5000, 0.5000, 0.0000)  6 Ac 3.42-3.43

Computed properties:
* formation energy from raw total energies: -1.35 eV per atom
* magnetization: 0.00 μB per formula unit



Material: Ac6Sn2SbTe3
Method: DFT, PBE-GGA
State: relaxed

Unit cell a=10.7185 b=10.7185 c=9.5824 alpha=102.56 beta=102.56 gamma=25.94
With the nearest neighbours (Å) after each atom.
Fractional coordinates of all 12 atoms:
Ac (0.0038, 0.0038, 0.2458)  1 Sn 3.31, 2 Sb 3.36, 3 Te 3.44
Ac (0.3304, 0.3304, 0.4242)  3 Sn 3.34, 3 Te 3.46
Ac (0.3349, 0.3349, 0.9079)  2 Sn 3.32, 1 Sb 3.36, 3 Te 3.45
Ac (0.6651, 0.6651, 0.0921)  2 Sn 3.32, 1 Sb 3.36, 3 Te 3.45
Ac (0.6696, 0.6696, 0.5758)  3 Sn 3.34, 3 Te 3.46
Ac (0.9962, 0.9962, 0.7542)  1 Sn 3.31, 2 Sb 3.36, 3 Te 3.44
Sn (0.1662, 0.1662, 0.3319)  6 Ac 3.31-3.34
Sn (0.8338, 0.8338, 0.6681)  6 Ac 3.31-3.34
Sb (0.5000, 0.5000, 0.0000)  6 Ac 3.36
Te (0.1653, 0.1653, 0.8337)  6 Ac 3.44-3.46
Te (0.5000, 0.5000, 0.5000)  6 Ac 3.44-3.46
Te (0.8347, 0.8347, 0.1663)  6 Ac 3.44-3.46

Computed properties:
* formation energy from raw total energies: -1.24 eV per atom
* magnetization: 0.00 μB per formula unit



Material: AcThSnSb
Method: DFT, PBE-GGA
State: relaxed

Unit cell a=5.6305 b=5.6305 c=5.6305 alpha=60.00 beta=60.00 gamma=60.00
With the nearest neighbours (Å) after each atom.
Fractional coordinates of all 4 atoms:
Ac (0.0000, 0.0000, 0.0000)  4 Sn 3.45, 4 Sb 3.45
Th (0.5000, 0.5000, 0.5000)  4 Sn 3.45, 4 Sb 3.45
Sn (0.2500, 0.2500, 0.2500)  4 Ac 3.45, 4 Th 3.45
Sb (0.7500, 0.7500, 0.7500)  4 Th 3.45, 4 Ac 3.45

Computed properties:
* formation energy from raw total energies: -0.59 eV per atom
* magnetization: 0.00 μB per formula unit



Material: AcTlSnSb
Method: DFT, PBE-GGA
State: relaxed

Unit cell a=5.6396 b=5.6396 c=5.6396 alpha=60.00 beta=60.00 gamma=60.00
With the nearest neighbours (Å) after each atom.
Fractional coordinates of all 4 atoms:
Ac (0.0000, 0.0000, 0.0000)  4 Sn 3.45, 4 Tl 3.45
Tl (0.2500, 0.2500, 0.2500)  4 Sb 3.45, 4 Ac 3.45
Sn (0.7500, 0.7500, 0.7500)  4 Sb 3.45, 4 Ac 3.45
Sb (0.5000, 0.5000, 0.5000)  4 Tl 3.45, 4 Sn 3.45

Computed properties:
* formation energy from raw total energies: -0.22 eV per atom
* magnetization: 0.00 μB per formula unit



Material: SrAcSb2
Method: DFT, PBE-GGA
State: relaxed

Unit cell a=4.2411 b=4.2411 c=7.5326 alpha=90.00 beta=90.00 gamma=90.00
With the nearest neighbours (Å) after each atom.
Fractional coordinates of all 4 atoms:
Sr (0.0000, 0.0000, 0.0000)  8 Sb 3.55, 2 Ac 3.77
Ac (0.0000, 0.0000, 0.5000)  8 Sb 3.53, 2 Sr 3.77
Sb (0.5000, 0.5000, 0.2533)  4 Ac 3.53, 4 Sr 3.55, 2 Sb 3.72-3.82
Sb (0.5000, 0.5000, 0.7467)  4 Ac 3.53, 4 Sr 3.55, 2 Sb 3.72-3.82

Computed properties:
* formation energy from raw total energies: -0.89 eV per atom
* E above lowest polymorph: 76 meV/atom
* magnetization: 0.00 μB per formula unit



Material: SrAc2Sb
Method: DFT, PBE-GGA
State: relaxed

Unit cell a=5.3064 b=5.3064 c=5.2926 alpha=90.00 beta=90.00 gamma=90.00
With the nearest neighbours (Å) after each atom.
Fractional coordinates of all 4 atoms:
Sr (0.0000, 0.0000, 0.0000)  8 Ac 3.75, 4 Sb 3.75
Ac (0.0000, 0.5000, 0.5000)  4 Sb 3.75, 4 Sr 3.75, 4 Ac 3.75
Ac (0.5000, 0.0000, 0.5000)  4 Sb 3.75, 4 Sr 3.75, 4 Ac 3.75
Sb (0.5000, 0.5000, 0.0000)  8 Ac 3.75, 4 Sr 3.75

Computed properties:
* formation energy from raw total energies: -0.37 eV per atom
* E above lowest polymorph: 0 meV/atom
* magnetization: 0.03 μB per formula unit